Li4GeSe5 after structural relaxation, computed with PBE.

```
Li4GeSe5
1.0
5.611 0.000 0.000
2.805 5.963 0.000
2.805 0.000 5.963
Se Li Ge
5 4 1
direct
0.494 0.000 0.000
0.705 0.200 0.367
0.905 0.367 0.800
0.272 0.800 0.633
0.072 0.633 0.200
0.206 0.188 0.398
0.604 0.602 0.188
0.792 0.812 0.602
0.394 0.398 0.812
0.068 0.000 0.000
```

VASP energy, eV/atom: -3.620
Formation energy without anion corrections, kJ/mol of formula units: -628
Calculated density, g/cm3: 4.122
SG: I4
DOS at the Fermi energy, states/eV/atom: 0.817
Total moment, μB/cell: 0.00